No. 1
! GGA-PBE Nd4Ho2N, optimized geometry; values from VASP
! - N(E_F) (states/eV/f.u.) = 9.66
! - magnetic moment (μB per formula unit) = 0.00
! - formation energy without anion corrections (eV/atom) = -0.171
! - calculated volume (A^3/atom) = 31.6
! - electronic total energy (eV/cell) = -37.75
! - crystal system = tetragonal
&SYSTEM
  ibrav = 0, nat = 7, ntyp = 3
/
ATOMIC_SPECIES
Ho 164.93 Ho.upf
Nd 144.24 Nd.upf
N 14.01 N.upf
ATOMIC_POSITIONS crystal
Ho 0.6631 0.6631 0.6737
Ho 0.3369 0.3369 0.3263
Nd 0.8637 0.8637 0.2727
Nd 0.5000 0.0000 0.0000
Nd 0.0000 0.5000 0.0000
Nd 0.1363 0.1363 0.7273
N 0.0000 0.0000 0.0000
CELL_PARAMETERS angstrom
5.0096 0.0000 0.0000
0.0000 5.0096 0.0000
2.5048 2.5048 8.8121


No. 2
! GGA-PBE Na4MnRh3Se8, optimized geometry; values from VASP
! - N(E_F) (states/eV/f.u.) = 3.20
! - magnetic moment (μB per formula unit) = 3.88
! - formation energy without anion corrections (eV/atom) = -0.682
! - calculated volume (A^3/atom) = 21.1
! - electronic total energy (eV/cell) = -75.28
! - crystal system = trigonal
&SYSTEM
  ibrav = 0, nat = 16, ntyp = 4
/
ATOMIC_SPECIES
Na 22.99 Na.upf
Se 78.96 Se.upf
Rh 102.91 Rh.upf
Mn 54.94 Mn.upf
ATOMIC_POSITIONS crystal
Na 0.0000 0.0000 0.5000
Na 0.5000 0.0000 0.5000
Na 0.5000 0.0000 0.0000
Na 0.0000 0.0000 0.0000
Se 0.2745 0.3053 0.0398
Se 0.2347 0.6947 0.4694
Se 0.7255 0.6947 0.9602
Se 0.7653 0.3053 0.0398
Se 0.2710 0.3131 0.5420
Se 0.7290 0.6869 0.4580
Se 0.2347 0.6947 0.9602
Se 0.7653 0.3053 0.5306
Rh 0.5000 0.5000 0.5000
Rh 0.5000 0.5000 0.0000
Rh 0.0000 0.5000 0.5000
Mn 0.0000 0.5000 0.0000
CELL_PARAMETERS angstrom
-1.6387 -4.6915 5.7713
5.2047 -5.3887 -2.9026
2.5119 7.0489 1.4182


No. 3
! GGA-PBE Tb3PmHo2, optimized geometry; values from VASP
! - calculated formation energy (eV per atom) = -0.004
! - relative energy among the computed polymorphs (meV per atom) = 0
! - N(E_F) (states/eV/f.u.) = 7.35
! - magnetic moment (μB per formula unit) = 0.00
! - calculated volume (A^3/atom) = 32.0
! - electronic total energy (eV/cell) = -55.64
! - crystal system = triclinic
&SYSTEM
  ibrav = 0, nat = 12, ntyp = 3
/
ATOMIC_SPECIES
Tb 158.93 Tb.upf
Ho 164.93 Ho.upf
Pm 145.00 Pm.upf
ATOMIC_POSITIONS crystal
Tb 0.2508 0.0005 0.7504
Tb 0.7492 0.9995 0.2496
Tb 0.1955 0.3348 0.6391
Tb 0.8038 0.6644 0.8607
Tb 0.8045 0.6652 0.3609
Tb 0.1962 0.3356 0.1393
Ho 0.6966 0.3353 0.6398
Ho 0.3034 0.6647 0.3602
Ho 0.3037 0.6655 0.8606
Ho 0.6963 0.3345 0.1394
Pm 0.7488 0.9992 0.7497
Pm 0.2512 0.0008 0.2503
CELL_PARAMETERS angstrom
6.9391 -1.1557 -1.4639
-4.1018 9.3316 -0.3863
-2.1559 0.7088 6.8085


No. 4
! GGA-PBE Sm4Ga12Pd, optimized geometry; values from VASP
! - calculated formation energy (eV per atom) = -0.628
! - N(E_F) (states/eV/f.u.) = 1.03
! - magnetic moment (μB per formula unit) = 0.00
! - calculated volume (A^3/atom) = 19.6
! - electronic total energy (eV/cell) = -71.07
! - crystal system = cubic
&SYSTEM
  ibrav = 0, nat = 17, ntyp = 3
/
ATOMIC_SPECIES
Ga 69.72 Ga.upf
Sm 150.36 Sm.upf
Pd 106.42 Pd.upf
ATOMIC_POSITIONS crystal
Ga 0.7500 0.2500 0.5000
Ga 0.5000 0.2500 0.7500
Ga 0.0000 0.7034 0.7034
Ga 0.0000 0.2966 0.2966
Ga 0.7034 0.7034 0.0000
Ga 0.2500 0.5000 0.7500
Ga 0.2966 0.0000 0.2966
Ga 0.7500 0.5000 0.2500
Ga 0.7034 0.0000 0.7034
Ga 0.5000 0.7500 0.2500
Ga 0.2500 0.7500 0.5000
Ga 0.2966 0.2966 0.0000
Sm 0.0000 0.5000 0.0000
Sm 0.0000 0.0000 0.5000
Sm 0.5000 0.5000 0.5000
Sm 0.5000 0.0000 0.0000
Pd 0.0000 0.0000 0.0000
CELL_PARAMETERS angstrom
7.1268 0.0000 -2.5197
-3.5634 6.1720 -2.5197
0.0000 0.0000 7.5591


No. 5
! GGA-PBE TaNb2Se6, optimized geometry; values from VASP
! - relative energy among the computed polymorphs (meV per atom) = 262
! - N(E_F) (states/eV/f.u.) = 5.28
! - magnetic moment (μB per formula unit) = 0.00
! - formation energy without anion corrections (eV/atom) = -0.562
! - calculated volume (A^3/atom) = 22.3
! - electronic total energy (eV/cell) = -115.91
! - crystal system = monoclinic
&SYSTEM
  ibrav = 0, nat = 18, ntyp = 3
/
ATOMIC_SPECIES
Nb 92.91 Nb.upf
Ta 180.95 Ta.upf
Se 78.96 Se.upf
ATOMIC_POSITIONS crystal
Nb 0.9215 0.3314 0.7490
Nb 0.4215 0.1686 0.2490
Nb 0.0785 0.6686 0.2510
Nb 0.5785 0.8314 0.7510
Ta 0.0000 0.0000 0.5000
Ta 0.5000 0.5000 0.0000
Se 0.6795 0.4698 0.2306
Se 0.6840 0.1469 0.9222
Se 0.1525 0.3293 0.0863
Se 0.1840 0.3531 0.4222
Se 0.6525 0.1707 0.5863
Se 0.8205 0.9698 0.2694
Se 0.1795 0.0302 0.7306
Se 0.3205 0.5302 0.7694
Se 0.3475 0.8293 0.4137
Se 0.8475 0.6707 0.9137
Se 0.8160 0.6469 0.5778
Se 0.3160 0.8531 0.0778
CELL_PARAMETERS angstrom
6.3793 0.0000 0.3324
0.0000 6.3509 0.0000
-0.3230 0.0000 9.8708


No. 6
! GGA-PBE BAuS2Cl, optimized geometry; values from VASP
! - relative energy among the computed polymorphs (meV per atom) = 0
! - N(E_F) (states/eV/f.u.) = 3.36
! - magnetic moment (μB per formula unit) = 0.00
! - formation energy without anion corrections (eV/atom) = 0.682
! - calculated volume (A^3/atom) = 22.7
! - electronic total energy (eV/cell) = -16.65
! - crystal system = tetragonal
&SYSTEM
  ibrav = 0, nat = 5, ntyp = 4
/
ATOMIC_SPECIES
B 10.81 B.upf
Au 196.97 Au.upf
S 32.06 S.upf
Cl 35.45 Cl.upf
ATOMIC_POSITIONS crystal
B 0.0000 0.0000 0.0000
Au 0.5000 0.5000 0.5000
S 0.5000 0.0000 0.0000
S 0.0000 0.5000 0.0000
Cl 0.0000 0.0000 0.5000
CELL_PARAMETERS angstrom
-1.7050 -3.3917 0.8119
1.9462 -0.1754 3.3543
-5.6112 3.6457 3.4464


> The lowest calculated volume belongs to which entry?

Sm4Ga12Pd